The following is a DFT calculation (PBE) of Na2Tl8Pd3 after structural relaxation.

Unit cell a=9.4346 b=4.6435 c=9.4781 alpha=90.00 beta=119.77 gamma=90.00
Closest atoms and distances in Å follow each position.
Space group P2/m (No. 10)
Symmetry-distinct sites (fractional):
Na: 0.2478 0.0000 0.4959  8 Tl 3.25-3.42
Tl: 0.0971 0.5000 0.1950  2 Pd 2.98, 5 Tl 3.21-3.26
Tl: 0.1367 0.0000 0.7870  3 Pd 2.92-2.99, 2 Tl 3.26
Tl: 0.3488 0.0000 0.2128  3 Pd 2.92-2.99, 1 Na 3.26, 2 Tl 3.26
Tl: 0.3866 0.5000 0.7722  4 Pd 2.90-2.98
Pd: 0.2658 0.5000 0.9999  8 Tl 2.90-2.98, 2 Pd 3.20
Pd: 0.5000 0.0000 0.0000  8 Tl 2.98-2.99, 4 Pd 3.20

**Energy above the lowest structure with this stoichiometry**: 0.00 eV per formula unit
**Formation enthalpy at 0 K**: -0.08 eV per atom
**DFT total energy**: -38.14 eV for the cell shown
**Crystal system**: monoclinic
**V**: 360.4 Å³/f.u.

The following is a DFT calculation (PBE) of NaTl2Pd after structural relaxation.

Unit cell a=4.7509 b=4.7509 c=15.6529 alpha=90.00 beta=90.00 gamma=120.00
Closest atoms and distances in Å follow each position.
Space group R3m (No. 160, hexagonal axes)
Symmetry-distinct sites (fractional):
Na: 0.0000 0.0000 0.0000  1 Pd 2.97, 6 Tl 3.17-3.28
Tl: 0.0000 0.0000 0.5657  3 Pd 2.82
Tl: 0.0000 0.0000 0.7814  3 Pd 2.98, 3 Na 3.28, 3 Tl 3.30
Pd: 0.0000 0.0000 0.1896  6 Tl 2.82-2.98, 1 Na 2.97

**Formation enthalpy at 0 K**: -0.13 eV per atom
**DFT total energy**: -35.33 eV for the cell shown
**Crystal system**: trigonal
**V**: 102.0 Å³/f.u.

The following is a DFT calculation (PBE) of Na2Tl3Pd after structural relaxation.

Unit cell a=3.5961 b=5.5727 c=17.0428 alpha=90.00 beta=90.00 gamma=90.00
Closest atoms and distances in Å follow each position.
Space group Immm (No. 71)
Symmetry-distinct sites (fractional):
Na: 0.0000 0.0000 0.2098  4 Tl 3.14-3.34
Tl: 0.0000 0.5000 0.1249  2 Pd 2.79
Tl: 0.0000 0.5000 0.5000  2 Pd 2.79
Pd: 0.0000 0.0000 0.5000  6 Tl 2.79

**Energy above the lowest structure with this stoichiometry**: 0.55 eV per formula unit
**Formation enthalpy at 0 K**: -0.05 eV per atom
**DFT total energy**: -30.45 eV for the cell shown
**Crystal system**: orthorhombic
**V**: 170.8 Å³/f.u.

The following is a DFT calculation (PBE) of NaTlPd3 after structural relaxation.

Unit cell a=10.0634 b=5.7807 c=7.4864 alpha=90.00 beta=116.94 gamma=90.00
Closest atoms and distances in Å follow each position.
Space group C2/m (No. 12)
Symmetry-distinct sites (fractional):
Na: 0.0896 0.0000 0.2691  9 Pd 2.92-3.13
Tl: 0.1651 0.5000 0.9982  6 Pd 2.79-2.80
Pd: 0.1143 0.5000 0.3357  6 Pd 2.78-2.93, 2 Tl 2.79-2.80, 3 Na 2.92-3.11
Pd: 0.1388 0.2482 0.6655  6 Pd 2.77-2.93, 2 Tl 2.79, 2 Na 2.93-2.94

**Energy above the lowest structure with this stoichiometry**: 0.00 eV per formula unit
**Formation enthalpy at 0 K**: -0.18 eV per atom
**DFT total energy**: -80.67 eV for the cell shown
**Crystal system**: monoclinic
**V**: 97.1 Å³/f.u.

The following is a DFT calculation (PBE) of Na4Tl5Pd3 after structural relaxation.

Unit cell a=14.4059 b=5.3725 c=8.3774 alpha=90.00 beta=117.21 gamma=90.00
Closest atoms and distances in Å follow each position.
Space group C2/m (No. 12)
Symmetry-distinct sites (fractional):
Na: 0.0857 0.0000 0.4414  1 Pd 2.97, 1 Na 3.05, 4 Tl 3.11-3.32
Na: 0.2149 0.0000 0.8979  3 Pd 3.04-3.32, 3 Na 3.10-3.40, 4 Tl 3.12-3.30
Tl: 0.0000 0.0000 0.0000  4 Pd 2.69-2.99
Tl: 0.0736 0.5000 0.7120  2 Pd 2.82-3.05
Tl: 0.1722 0.5000 0.3437  4 Pd 2.81-2.94, 2 Na 3.11-3.12
Pd: 0.0000 0.5000 0.0000  4 Tl 2.69-2.81
Pd: 0.2256 0.0000 0.2691  5 Tl 2.82-2.99, 2 Na 2.97-3.04

**Formation enthalpy at 0 K**: -0.11 eV per atom
**DFT total energy**: -68.12 eV for the cell shown
**Crystal system**: monoclinic
**V**: 288.3 Å³/f.u.

The following is a DFT calculation (PBE) of Na3Tl2Pd after structural relaxation.

Unit cell a=15.4545 b=5.1661 c=9.4447 alpha=90.00 beta=123.97 gamma=90.00
Closest atoms and distances in Å follow each position.
Space group C2/m (No. 12)
Symmetry-distinct sites (fractional):
Na: 0.1332 0.0000 0.1615  1 Pd 3.25, 6 Na 3.27-3.58, 2 Tl 3.37
Na: 0.1834 0.5000 0.0068  1 Pd 2.95, 2 Tl 3.23-3.27, 2 Na 3.27
Na: 0.1962 0.0000 0.5594  5 Tl 3.09-3.39, 2 Pd 3.17, 2 Na 3.31-3.42
Tl: 0.0632 0.5000 0.3069  2 Pd 2.83-3.03
Tl: 0.0672 0.0000 0.7176  2 Pd 2.87, 1 Na 3.09, 2 Tl 3.20
Pd: 0.1151 0.5000 0.6459  4 Tl 2.83-3.03, 3 Na 2.95-3.17, 1 Pd 3.05

**Energy above the lowest structure with this stoichiometry**: 0.06 eV per formula unit
**Formation enthalpy at 0 K**: -0.11 eV per atom
**DFT total energy**: -58.19 eV for the cell shown
**Crystal system**: monoclinic
**V**: 156.3 Å³/f.u.

The following is a DFT calculation (PBE) of Na5Tl5Pd2 after structural relaxation.

Unit cell a=5.1359 b=5.1359 c=39.1519 alpha=90.00 beta=90.00 gamma=120.00
Closest atoms and distances in Å follow each position.
Space group R-3m (No. 166, hexagonal axes)
Symmetry-distinct sites (fractional):
Na: 0.0000 0.0000 0.0000  6 Tl 3.12
Na: 0.0000 0.0000 0.1964  1 Na 3.06, 6 Tl 3.19-3.34, 3 Pd 3.36
Na: 0.0000 0.0000 0.2745  1 Na 3.06, 7 Tl 3.25-3.33, 3 Pd 3.31
Tl: 0.0000 0.0000 0.0978  3 Pd 2.97
Tl: 0.0000 0.0000 0.3581  1 Pd 2.82, 3 Na 3.12
Tl: 0.0000 0.0000 0.5000  2 Pd 2.74
Pd: 0.0000 0.0000 0.4300  5 Tl 2.74-2.97

**Energy above the lowest structure with this stoichiometry**: 0.00 eV per formula unit
**Formation enthalpy at 0 K**: -0.16 eV per atom
**DFT total energy**: -92.08 eV for the cell shown
**Crystal system**: trigonal
**V**: 298.1 Å³/f.u.

The following is a DFT calculation (PBE) of Na3Tl7Pd4 after structural relaxation.

Unit cell a=17.6877 b=4.4328 c=10.4027 alpha=90.00 beta=121.25 gamma=90.00
Closest atoms and distances in Å follow each position.
Space group C2/m (No. 12)
Symmetry-distinct sites (fractional):
Na: 0.0000 0.0000 0.0000  6 Pd 3.41-3.59, 4 Tl 3.43
Na: 0.1889 0.5000 0.6987  4 Pd 3.15-3.33, 4 Tl 3.27-3.31
Tl: 0.0000 0.0000 0.5000  2 Pd 2.90
Tl: 0.0006 0.5000 0.7492  3 Pd 2.78-2.85
Tl: 0.1670 0.0000 0.4456  3 Pd 2.81-2.89
Tl: 0.1930 0.5000 0.0418  4 Pd 2.74-2.95
Pd: 0.1178 0.0000 0.8239  6 Tl 2.85-2.95, 2 Na 3.15
Pd: 0.1636 0.5000 0.2762  5 Tl 2.74-2.89

**Formation enthalpy at 0 K**: -0.14 eV per atom
**DFT total energy**: -86.53 eV for the cell shown
**Crystal system**: monoclinic
**V**: 348.7 Å³/f.u.

Look up the V of the second one. 102.0 Å³/f.u.

What is the formation enthalpy at 0 K in the second record? -0.13 eV per atom